Record 1
Below is an optimized crystal structure of BaNaSi, with properties calculated at the GGA-PBE level.

CIF file:
```
data_BaNaSi
_chemical_formula_sum 'Ba4 Na4 Si4'
_cell_length_a 4.9240
_cell_length_b 20.1484
_cell_length_c 4.1241
_cell_angle_alpha 90.00
_cell_angle_beta 90.00
_cell_angle_gamma 90.00
_space_group_name_H-M_alt 'C m c m'
_space_group_IT_number 63
_space_group_name_Hall '-C 2c 2'
loop_
_atom_site_label
_atom_site_type_symbol
_atom_site_fract_x
_atom_site_fract_y
_atom_site_fract_z
Ba1 Ba 0.0000 0.0883 0.2500
Na1 Na 0.0000 0.2950 0.2500
Si1 Si 0.0000 0.4658 0.2500
```

Output
Formation energy (no corrections) in eV/atom: -0.267
Spin magnetization in μB/cell: 0.0
Relative energy among the computed polymorphs in kcal/mol of atoms: 0.000


Record 2
Below is an optimized crystal structure of BaNaSi3, with properties calculated at the GGA-PBE level.

CIF file:
```
data_BaNaSi3
_chemical_formula_sum 'Ba1 Na1 Si3'
_cell_length_a 5.1268
_cell_length_b 5.1268
_cell_length_c 5.1268
_cell_angle_alpha 90.00
_cell_angle_beta 90.00
_cell_angle_gamma 90.00
_space_group_name_H-M_alt 'P m -3 m'
_space_group_IT_number 221
_space_group_name_Hall '-P 4 2 3'
loop_
_atom_site_label
_atom_site_type_symbol
_atom_site_fract_x
_atom_site_fract_y
_atom_site_fract_z
Ba1 Ba 0.0000 0.0000 0.0000
Na1 Na 0.5000 0.5000 0.5000
Si1 Si 0.0000 0.5000 0.5000
```

Output
Formation energy (no corrections) in eV/atom: 0.735
Spin magnetization in μB/cell: 0.0
Relative energy among the computed polymorphs in kcal/mol of atoms: 21.714


Record 3
Below is an optimized crystal structure of Ba6NaSi2, with properties calculated at the GGA-PBE level.

CIF file:
```
data_Ba6NaSi2
_chemical_formula_sum 'Ba24 Na4 Si8'
_cell_length_a 11.8274
_cell_length_b 11.8761
_cell_length_c 11.9897
_cell_angle_alpha 90.00
_cell_angle_beta 90.00
_cell_angle_gamma 90.00
_space_group_name_H-M_alt 'I m m m'
_space_group_IT_number 71
_space_group_name_Hall '-I 2 2'
loop_
_atom_site_label
_atom_site_type_symbol
_atom_site_fract_x
_atom_site_fract_y
_atom_site_fract_z
Ba1 Ba 0.0000 0.2257 0.2204
Ba2 Ba 0.1906 0.5000 0.1831
Ba3 Ba 0.2013 0.3203 0.5000
Na1 Na 0.0000 0.0000 0.0000
Na2 Na 0.0000 0.0000 0.5000
Si1 Si 0.0000 0.3960 0.0000
Si2 Si 0.0000 0.5000 0.3975
```

Output
Formation energy (no corrections) in eV/atom: -0.185
Spin magnetization in μB/cell: 0.0


Record 4
Below is an optimized crystal structure of BaNaSi, with properties calculated at the GGA-PBE level.

CIF file:
```
data_BaNaSi
_chemical_formula_sum 'Ba2 Na2 Si2'
_cell_length_a 4.4682
_cell_length_b 4.0383
_cell_length_c 13.4140
_cell_angle_alpha 90.00
_cell_angle_beta 90.34
_cell_angle_gamma 90.00
_space_group_name_H-M_alt 'P 1 21/m 1'
_space_group_IT_number 11
_space_group_name_Hall '-P 2yb'
loop_
_atom_site_label
_atom_site_type_symbol
_atom_site_fract_x
_atom_site_fract_y
_atom_site_fract_z
Ba1 Ba 0.0024 0.2500 0.1521
Na1 Na 0.4946 0.2500 0.6131
Si1 Si 0.4992 0.2500 0.9514
```

Output
Formation energy (no corrections) in eV/atom: -0.209
Spin magnetization in μB/cell: 0.0
Relative energy among the computed polymorphs in kcal/mol of atoms: 1.331


Record 5
Below is an optimized crystal structure of Ba2Na3Si2, with properties calculated at the GGA-PBE level.

CIF file:
```
data_Ba2Na3Si2
_chemical_formula_sum 'Ba4 Na6 Si4'
_cell_length_a 4.0769
_cell_length_b 25.9522
_cell_length_c 4.7352
_cell_angle_alpha 90.00
_cell_angle_beta 90.00
_cell_angle_gamma 90.00
_space_group_name_H-M_alt 'C m m m'
_space_group_IT_number 65
_space_group_name_Hall '-C 2 2'
loop_
_atom_site_label
_atom_site_type_symbol
_atom_site_fract_x
_atom_site_fract_y
_atom_site_fract_z
Ba1 Ba 0.0000 0.1767 0.0000
Na1 Na 0.0000 0.0000 0.0000
Na2 Na 0.0000 0.4268 0.5000
Si1 Si 0.0000 0.2759 0.5000
```

Output
Formation energy (no corrections) in eV/atom: -0.224
Spin magnetization in μB/cell: 0.0


Record 6
Below is an optimized crystal structure of BaNa2Si6, with properties calculated at the GGA-PBE level.

CIF file:
```
data_BaNa2Si6
_chemical_formula_sum 'Ba2 Na4 Si12'
_cell_length_a 4.0035
_cell_length_b 9.7064
_cell_length_c 10.5311
_cell_angle_alpha 90.00
_cell_angle_beta 90.00
_cell_angle_gamma 90.00
_space_group_name_H-M_alt 'I m m m'
_space_group_IT_number 71
_space_group_name_Hall '-I 2 2'
loop_
_atom_site_label
_atom_site_type_symbol
_atom_site_fract_x
_atom_site_fract_y
_atom_site_fract_z
Ba1 Ba 0.0000 0.0000 0.0000
Na1 Na 0.0000 0.5000 0.1683
Si1 Si 0.0000 0.1245 0.5000
Si2 Si 0.0000 0.2607 0.3168
```

Output
Formation energy (no corrections) in eV/atom: -0.004
Spin magnetization in μB/cell: 0.0


Record 7
Below is an optimized crystal structure of BaNaSi2, with properties calculated at the GGA-PBE level.

CIF file:
```
data_BaNaSi2
_chemical_formula_sum 'Ba4 Na4 Si8'
_cell_length_a 7.5757
_cell_length_b 7.5757
_cell_length_c 7.5757
_cell_angle_alpha 90.00
_cell_angle_beta 90.00
_cell_angle_gamma 90.00
_space_group_name_H-M_alt 'F m -3 m'
_space_group_IT_number 225
_space_group_name_Hall '-F 4 2 3'
loop_
_atom_site_label
_atom_site_type_symbol
_atom_site_fract_x
_atom_site_fract_y
_atom_site_fract_z
Ba1 Ba 0.0000 0.0000 0.0000
Na1 Na 0.0000 0.0000 0.5000
Si1 Si 0.2500 0.2500 0.2500
```

Output
Formation energy (no corrections) in eV/atom: 0.243
Spin magnetization in μB/cell: 0.0
Relative energy among the computed polymorphs in kcal/mol of atoms: 12.181


Record 8
Below is an optimized crystal structure of BaNa4Si2, with properties calculated at the GGA-PBE level.

CIF file:
```
data_BaNa4Si2
_chemical_formula_sum 'Ba2 Na8 Si4'
_cell_length_a 4.8130
_cell_length_b 18.8186
_cell_length_c 4.7871
_cell_angle_alpha 90.00
_cell_angle_beta 90.00
_cell_angle_gamma 90.00
_space_group_name_H-M_alt 'C m m m'
_space_group_IT_number 65
_space_group_name_Hall '-C 2 2'
loop_
_atom_site_label
_atom_site_type_symbol
_atom_site_fract_x
_atom_site_fract_y
_atom_site_fract_z
Ba1 Ba 0.0000 0.0000 0.0000
Na1 Na 0.0000 0.1674 0.5000
Na2 Na 0.0000 0.3308 0.0000
Si1 Si 0.0000 0.4397 0.5000
```

Output
Formation energy (no corrections) in eV/atom: -0.082
Spin magnetization in μB/cell: 0.0


Record 9
Below is an optimized crystal structure of BaNaSi3, with properties calculated at the GGA-PBE level.

CIF file:
```
data_BaNaSi3
_chemical_formula_sum 'Ba4 Na4 Si12'
_cell_length_a 5.0853
_cell_length_b 24.9030
_cell_length_c 4.0251
_cell_angle_alpha 90.00
_cell_angle_beta 90.00
_cell_angle_gamma 90.00
_space_group_name_H-M_alt 'C m c m'
_space_group_IT_number 63
_space_group_name_Hall '-C 2c 2'
loop_
_atom_site_label
_atom_site_type_symbol
_atom_site_fract_x
_atom_site_fract_y
_atom_site_fract_z
Ba1 Ba 0.0000 0.0748 0.2500
Na1 Na 0.0000 0.2074 0.7500
Si1 Si 0.0000 0.3293 0.7500
Si2 Si 0.0000 0.3804 0.2500
Si3 Si 0.0000 0.4752 0.2500
```

Output
Formation energy (no corrections) in eV/atom: -0.206
Spin magnetization in μB/cell: 0.0
Relative energy among the computed polymorphs in kcal/mol of atoms: 0.000


Record 10
Below is an optimized crystal structure of BaNaSi, with properties calculated at the GGA-PBE level.

CIF file:
```
data_BaNaSi
_chemical_formula_sum 'Ba4 Na4 Si4'
_cell_length_a 9.5049
_cell_length_b 6.1142
_cell_length_c 7.6813
_cell_angle_alpha 90.00
_cell_angle_beta 112.85
_cell_angle_gamma 90.00
_space_group_name_H-M_alt 'C 1 2/m 1'
_space_group_IT_number 12
_space_group_name_Hall '-C 2y'
loop_
_atom_site_label
_atom_site_type_symbol
_atom_site_fract_x
_atom_site_fract_y
_atom_site_fract_z
Ba1 Ba 0.1466 0.0000 0.4098
Na1 Na 0.2500 0.2500 0.0000
Si1 Si 0.0312 0.5000 0.6691
```

Output
Formation energy (no corrections) in eV/atom: -0.032
Spin magnetization in μB/cell: 0.0
Relative energy among the computed polymorphs in kcal/mol of atoms: 5.420


Record 11
Below is an optimized crystal structure of BaNaSi2, with properties calculated at the GGA-PBE level.

CIF file:
```
data_BaNaSi2
_chemical_formula_sum 'Ba4 Na4 Si8'
_cell_length_a 7.2849
_cell_length_b 4.8719
_cell_length_c 12.5393
_cell_angle_alpha 90.00
_cell_angle_beta 90.00
_cell_angle_gamma 90.00
_space_group_name_H-M_alt 'P n m a'
_space_group_IT_number 62
_space_group_name_Hall '-P 2ac 2n'
loop_
_atom_site_label
_atom_site_type_symbol
_atom_site_fract_x
_atom_site_fract_y
_atom_site_fract_z
Ba1 Ba 0.1371 0.2500 0.1470
Na1 Na 0.1304 0.2500 0.4450
Si1 Si 0.0267 0.2500 0.6767
Si2 Si 0.1994 0.2500 0.8388
```

Output
Formation energy (no corrections) in eV/atom: -0.285
Spin magnetization in μB/cell: 0.0
Relative energy among the computed polymorphs in kcal/mol of atoms: 0.000


Record 12
Below is an optimized crystal structure of BaNaSr2Si, with properties calculated at the GGA-PBE level.

CIF file:
```
data_BaNaSr2Si
_chemical_formula_sum 'Ba1 Na1 Sr2 Si1'
_cell_length_a 6.9149
_cell_length_b 6.9149
_cell_length_c 5.7511
_cell_angle_alpha 90.00
_cell_angle_beta 90.00
_cell_angle_gamma 90.00
_space_group_name_H-M_alt 'P 4/m m m'
_space_group_IT_number 123
_space_group_name_Hall '-P 4 2'
loop_
_atom_site_label
_atom_site_type_symbol
_atom_site_fract_x
_atom_site_fract_y
_atom_site_fract_z
Ba1 Ba 0.0000 0.0000 0.0000
Na1 Na 0.5000 0.5000 0.5000
Sr1 Sr 0.0000 0.5000 0.0000
Si1 Si 0.0000 0.0000 0.5000
```

Output
Formation energy (no corrections) in eV/atom: 0.754
Spin magnetization in μB/cell: 1.3
Relative energy among the computed polymorphs in kcal/mol of atoms: 19.716